LiPu3Ag3S8: optimized geometry, PBE.

Structure (POSCAR):
```
LiPu3Ag3S8
1.0
7.9309 -0.0010 0.0054
-3.9665 6.8682 -0.0267
0.0106 -4.5664 5.9377
S Ag Li Pu
8 3 1 3
Cartesian
5.9245 -1.1269 1.5884
0.0042 0.0462 4.3415
3.9708 2.2546 1.5748
3.9696 0.0105 4.4271
1.9557 3.4265 4.3311
-1.9495 3.4277 4.3279
2.0193 -1.1257 1.5852
0.0054 2.2903 1.4892
0.0000 0.0000 0.0000
-1.9833 3.4341 -0.0134
1.9822 3.4336 -0.0107
0.0053 -2.2832 2.9688
1.9875 1.1504 2.9582
-1.9779 1.1509 2.9555
3.9708 -2.2837 2.9715
```

## Properties
For the density of states at the Fermi level, the calculation gives 1.343 states/eV/atom. The formation energy (no corrections) comes out at -950 meV per atom. As for the symmetry: No. 12. For the uncorrected energy, the calculation gives -6.716 eV/atom.

***

ThUNi2P2: optimized geometry, PBE.

Structure (POSCAR):
```
ThUNi2P2
1.0
3.9128 0.0000 0.0000
-1.9564 3.3886 0.0000
0.0000 0.0000 7.8861
Ni P U Th
2 2 1 1
Cartesian
0.0000 2.2591 5.6465
1.9564 1.1295 2.2395
1.9564 1.1295 5.8846
0.0000 2.2591 2.0014
0.0000 0.0000 3.9430
0.0000 0.0000 0.0000
```

## Properties
For the density of states at the Fermi level, the calculation gives 1.193 states/eV/atom. The calculation puts the formation enthalpy at 0 K at -1.002 eV per atom. As for the symmetry: No. 164. For the uncorrected energy, the calculation gives -7.850 eV/atom.

***

MnSiHg: optimized geometry, PBE.

Structure (POSCAR):
```
MnSiHg
1.0
6.4341 -0.0105 0.0097
5.6829 2.7982 0.0004
0.7511 -0.2427 2.7983
Hg Si Mn
1 1 1
Cartesian
12.0243 2.7630 0.0329
8.6265 1.8570 0.8664
4.3345 0.7127 1.9193
```

## Properties
The energy above the most stable polymorph in this dataset comes out at 0.022 eV/atom. For the density of states at the Fermi level, the calculation gives 0.479 states/eV/atom. The formation energy (no corrections) comes out at 321 meV per atom. As for the symmetry: No. 42. For the uncorrected energy, the calculation gives -4.644 eV/atom.

***

V2IrRuPt: optimized geometry, PBE.

Structure (POSCAR):
```
V2IrRuPt
1.0
-2.0415 3.6705 -1.4458
-4.0767 -1.3741 2.2677
1.3031 2.1639 3.6538
Pt Ir Ru V
1 1 1 2
Cartesian
-2.0383 -0.6871 1.1338
0.0000 0.0000 0.0000
-2.4075 2.2302 2.2378
0.6515 1.0820 1.8269
-1.0207 1.8353 -0.7229
```

## Properties
For the density of states at the Fermi level, the calculation gives 1.535 states/eV/atom. The calculation puts the formation enthalpy at 0 K at 1.336 eV per atom. As for the symmetry: No. 123. For the uncorrected energy, the calculation gives -7.147 eV/atom.

***

Zr2CrBr: optimized geometry, PBE.

Structure (POSCAR):
```
Zr2CrBr
1.0
3.2223 0.0000 0.0000
0.0000 3.2223 0.0000
0.0000 0.0000 7.8452
Cr Br Zr
1 1 2
Cartesian
1.6112 1.6112 5.8839
1.6112 1.6112 1.9613
0.0000 0.0000 4.3237
0.0000 0.0000 7.4440
```

## Properties
The energy above the most stable polymorph in this dataset comes out at 0.084 eV/atom. For the density of states at the Fermi level, the calculation gives 0.920 states/eV/atom. The formation energy (no corrections) comes out at -133 meV per atom. As for the symmetry: No. 123. For the uncorrected energy, the calculation gives -7.231 eV/atom.

***

Er4SbAu: optimized geometry, PBE.

Structure (POSCAR):
```
Er4SbAu
1.0
4.0598 0.0000 0.0000
0.0000 8.2354 0.0000
0.0000 0.0000 19.2133
Er Sb Au
16 4 4
Cartesian
1.0149 1.2203 6.6449
3.0448 7.0150 12.5684
3.0448 4.0306 10.9532
3.0448 2.8973 16.2516
1.0149 5.1997 18.0724
1.0149 1.0820 10.7476
1.0149 0.0871 1.3465
3.0448 3.8908 5.4544
1.0149 0.2269 15.0611
1.0149 4.3446 13.7589
3.0448 3.0357 1.1409
1.0149 4.2048 8.2601
3.0448 7.1534 8.4657
3.0448 8.0085 4.1522
3.0448 8.1483 17.8668
1.0149 5.3380 2.9617
1.0149 6.3581 5.9996
3.0448 1.8773 13.2137
1.0149 2.2404 3.6070
3.0448 5.9950 15.6063
3.0448 2.0419 8.6020
1.0149 6.1934 10.6113
3.0448 6.1596 1.0047
1.0149 2.0758 18.2086
```

## Properties
The energy above the most stable polymorph in this dataset comes out at 0.000 eV/atom. For the density of states at the Fermi level, the calculation gives 1.051 states/eV/atom. The formation energy (no corrections) comes out at -673 meV per atom. As for the symmetry: No. 62. For the uncorrected energy, the calculation gives -4.949 eV/atom.

***

Ac2ErScO6: optimized geometry, PBE.

Structure (POSCAR):
```
Ac2ErScO6
1.0
-1.4851 -3.1493 4.7885
-3.1169 -3.8188 -3.4782
6.9149 -4.7274 -1.0062
O Sc Er Ac
12 2 2 4
Cartesian
1.5388 -8.4640 -2.1804
2.1575 -3.5479 -0.1302
0.4235 -5.7733 -1.4789
1.8894 -5.9222 1.7830
-1.3231 -6.0355 2.2102
4.5603 -7.8686 1.4126
-0.5813 -1.6846 0.1644
-2.2474 -3.8269 -1.1086
0.7741 -3.2315 2.4844
2.8942 -10.0110 0.1396
3.6360 -5.6601 -1.9062
0.1554 -8.1477 0.4343
-1.5584 -1.9094 -1.7391
2.7149 -3.9384 1.8911
-0.7425 -1.5747 2.3942
1.8990 -4.2731 -2.2422
3.5850 -6.8235 3.8312
2.7344 -7.2278 -0.1947
-0.4215 -4.4677 0.4987
-1.2721 -4.8720 -3.5272
```

## Properties
For the density of states at the Fermi level, the calculation gives 0.000 states/eV/atom. The formation energy (no corrections) comes out at -3488 meV per atom. As for the symmetry: No. 14. For the uncorrected energy, the calculation gives -8.374 eV/atom.

***

LaTe2PtI: optimized geometry, PBE.

Structure (POSCAR):
```
LaTe2PtI
1.0
6.1998 0.0000 0.0000
0.0000 6.1998 0.0000
0.0000 0.0000 6.0572
Te Pt La I
2 1 1 1
Cartesian
0.0000 3.0999 0.0000
3.0999 0.0000 0.0000
3.0999 3.0999 3.0286
0.0000 0.0000 0.0000
0.0000 0.0000 3.0286
```

## Properties
The energy above the most stable polymorph in this dataset comes out at 0.961 eV/atom. For the density of states at the Fermi level, the calculation gives 2.220 states/eV/atom. The formation energy (no corrections) comes out at 421 meV per atom. As for the symmetry: No. 123. For the uncorrected energy, the calculation gives -3.339 eV/atom.